# Tb5Ho2Ru4, optimized geometry, DFT PBE
# - Density of states at the Fermi level: 9.3 states/eV/f.u.
# - M_tot: 0.0 μB/f.u.
# - Formation enthalpy at 0 K: 0.180 eV per atom
data_Tb5Ho2Ru4
_chemical_formula_sum 'Tb10 Ho4 Ru8'
_cell_length_a 25.5028
_cell_length_b 3.3339
_cell_length_c 6.5985
_cell_angle_alpha 90.00
_cell_angle_beta 97.20
_cell_angle_gamma 90.00
_space_group_name_H-M_alt 'C 1 2/m 1'
_space_group_IT_number 12
loop_
_space_group_symop_operation_xyz
'x,y,z'
'-x,-y,-z'
'-x,y,-z'
'x,-y,z'
'x+1/2,y+1/2,z'
'-x+1/2,-y+1/2,-z'
'-x+1/2,y+1/2,-z'
'x+1/2,-y+1/2,z'
loop_
_atom_site_label
_atom_site_type_symbol
_atom_site_fract_x
_atom_site_fract_y
_atom_site_fract_z
Tb1 Tb 0.0000 0.0000 0.0000
Tb2 Tb 0.1421 0.5000 0.9047
Tb3 Tb 0.1964 0.5000 0.4336
Ho1 Ho 0.0708 0.5000 0.3815
Ru1 Ru 0.0332 0.5000 0.7157
Ru2 Ru 0.2303 0.0000 0.8359